[1]
Co2SiSe | GGA-PBE | optimized geometry

Computed properties:
The energy relative to the elements, uncorrected comes out at -0.1 eV per formula unit. Its energy above the most stable polymorph in this dataset is 160 meV per atom. The space group is Cm, No. 8. Its density is 7.359 g/cm³.

Geometry as POSCAR:
```
Co2SiSe
1.0
4.119 -1.538 0.000
4.119 1.538 0.000
-0.940 0.000 4.007
Co Si Se
2 1 1
Cartesian
0.000 0.000 0.000
1.197 0.000 2.478
3.553 0.000 2.116
5.931 0.000 0.455
```

[2]
Co2SiSe | GGA-PBE | optimized geometry

Computed properties:
The energy relative to the elements, uncorrected comes out at -0.7 eV per formula unit. Its energy above the most stable polymorph in this dataset is 0 meV per atom. The space group is Pmmm, No. 47. Its density is 7.181 g/cm³.

Geometry as POSCAR:
```
Co2SiSe
1.0
2.777 0.000 0.000
0.000 2.789 0.000
0.000 0.000 6.717
Co Si Se
2 1 1
Cartesian
0.000 0.000 1.295
0.000 0.000 5.421
1.388 1.394 0.000
1.388 0.000 3.358
```

[3]
Co2SiSe | GGA-PBE | optimized geometry

Computed properties:
The energy relative to the elements, uncorrected comes out at -0.2 eV per formula unit. Its energy above the most stable polymorph in this dataset is 135 meV per atom. The space group is P4/mmm, No. 123. Its density is 7.434 g/cm³.

Geometry as POSCAR:
```
Co2SiSe
1.0
2.794 0.000 0.000
0.000 2.794 0.000
0.000 0.000 6.435
Co Si Se
2 1 1
Cartesian
0.000 0.000 1.320
0.000 0.000 5.115
1.397 1.397 0.000
1.397 1.397 3.218
```

[4]
Co2SiSe | GGA-PBE | optimized geometry

Computed properties:
The energy relative to the elements, uncorrected comes out at -0.1 eV per formula unit. Its energy above the most stable polymorph in this dataset is 168 meV per atom. The space group is R-3m, No. 166. Its density is 7.369 g/cm³.

Geometry as POSCAR:
```
Co2SiSe
1.0
1.417 0.818 7.287
-1.417 0.818 7.287
0.000 -1.636 7.287
Co Si Se
2 1 1
Cartesian
0.000 0.000 5.370
0.000 0.000 16.491
0.000 0.000 10.931
0.000 0.000 0.000
```

Q: Look up the energy relative to the elements, uncorrected of the first one.
A: -0.1 eV per formula unit